Record 1
Material: Tb2DyTm5Sc
Method: DFT, GGA-PBE
State: optimized geometry

Summary:
The density of states at the Fermi level comes out at 1.520 states/eV per atom. For the total magnetic moment, the calculation gives 0.001 Bohr magnetons per cell. The value obtained for the formation energy is 0.166 eV per atom.

Lattice parameters (Å, degrees): 5.4818 19.6434 10.2695 90.00 90.00 90.00
Last column: nearest neighbours and their distance in Å.
Space group Cmc2_1 (No. 36)
Symmetry-distinct sites (fractional):
Tb 0.0000 0.1115 0.0000 (multiplicity 4)  9 Tm 3.24-3.55, 1 Sc 3.51
Tb 0.0000 0.1142 0.4206 (multiplicity 4)  1 Sc 3.29, 7 Tm 3.41-3.66, 2 Dy 3.59
Dy 0.0000 0.4105 0.1414 (multiplicity 4)  5 Tm 2.98-3.22
Tm 0.0000 0.0179 0.7046 (multiplicity 4)  2 Dy 3.15, 3 Tb 3.30-3.48, 1 Sc 3.51
Tm 0.0000 0.2763 0.0050 (multiplicity 4)  1 Dy 2.98, 1 Tb 3.24, 2 Tm 3.34
Tm 0.0000 0.2999 0.3906 (multiplicity 4)  4 Tm 3.34-3.59, 1 Dy 3.36, 2 Sc 3.37, 3 Tb 3.44-3.66
Tm 0.0000 0.3784 0.7061 (multiplicity 4)  4 Tb 3.47-3.52, 6 Tm 3.53-3.88, 1 Sc 3.57
Tm 0.0000 0.4812 0.4245 (multiplicity 4)  2 Dy 3.08-3.22, 2 Tb 3.38
Sc 0.0000 0.1965 0.6996 (multiplicity 4)  2 Tb 3.29-3.51, 7 Tm 3.37-3.57, 2 Dy 3.50

***

Record 2
Material: Tb2YSc3Te6
Method: DFT, GGA-PBE
State: optimized geometry

Summary:
The density of states at the Fermi level comes out at 0.621 states/eV per atom. For the total magnetic moment, the calculation gives 0.000 Bohr magnetons per cell. Its uncorrected formation energy is -1.2031 eV/atom.

Lattice parameters (Å, degrees): 18.6201 4.2566 8.5693 90.00 103.51 90.00
Last column: nearest neighbours and their distance in Å.
Space group C2/m (No. 12)
Symmetry-distinct sites (fractional):
Tb 0.1670 0.0000 0.3334 (multiplicity 4)  6 Te 3.08-3.09
Y 0.0000 0.5000 0.0000 (multiplicity 2)  6 Te 3.08
Sc 0.0000 0.5000 0.5000 (multiplicity 2)  6 Te 2.95-2.96
Sc 0.1671 0.0000 0.8324 (multiplicity 4)  6 Te 2.95-2.96
Te 0.0036 0.0000 0.7417 (multiplicity 4)  3 Sc 2.96, 2 Y 3.08, 1 Tb 3.09
Te 0.1628 0.5000 0.5916 (multiplicity 4)  3 Sc 2.95, 3 Tb 3.08
Te 0.1699 0.5000 0.0736 (multiplicity 4)  3 Sc 2.95-2.96, 1 Y 3.08, 2 Tb 3.09

***

no.,raw total energy (eV/atom)
1,-4.562
2,-5.667